# InFeCo2

An optimized crystal structure of InFeCo2 (PBEsol, the Alexandria database).

Values from the calculation:
energy of formation from the pure elements	53	meV/atom
space-group type	P4/mmm (123)

Cell: 2.9174 2.9174 5.9840 Å, 90.00 90.00 90.00°
Site moments in Bohr magnetons follow the coordinates.
Atoms (fractional coordinates):
Co 0.0000 0.0000 0.7843  1.22
Co 0.0000 0.0000 0.2157  1.22
Fe 0.5000 0.5000 0.0000  2.79
In 0.5000 0.5000 0.5000  -0.05

***

# InFeCo2

An optimized crystal structure of InFeCo2 (PBEsol, the Alexandria database).

Values from the calculation:
energy of formation from the pure elements	173	meV/atom
space-group type	Imm2 (44)

Cell: 3.0655 4.0974 4.8284 Å, 115.11 108.51 90.00°
Site moments in Bohr magnetons follow the coordinates.
Atoms (fractional coordinates):
Co 0.0109 0.0109 0.0218  1.54
Co 0.7568 0.2568 0.5135  1.39
Fe 0.4838 0.4838 0.9677  2.65
In 0.2485 0.7485 0.4969  -0.08

***

# FeCo2Ir

An optimized crystal structure of FeCo2Ir (PBEsol, the Alexandria database).

Values from the calculation:
energy above the lowest structure with this stoichiometry	4.6	meV/atom
energy of formation from the pure elements	101	meV/atom
space-group type	R3m (160)

Cell: 2.5848 2.5848 8.2761 Å, 81.02 81.02 60.00°
Site moments in Bohr magnetons follow the coordinates.
Atoms (fractional coordinates):
Co 0.0044 0.0044 0.9867  1.60
Co 0.7488 0.7488 0.7535  1.67
Fe 0.4967 0.4967 0.5099  2.39
Ir 0.2500 0.2500 0.2500  0.09

***

# FeCo2Ir

An optimized crystal structure of FeCo2Ir (PBEsol, the Alexandria database).

Values from the calculation:
energy above the lowest structure with this stoichiometry	52.6	meV/atom
energy of formation from the pure elements	149	meV/atom
space-group type	F-43m (216)

Cell: 4.0689 4.0689 4.0689 Å, 60.00 60.00 60.00°
Site moments in Bohr magnetons follow the coordinates.
Atoms (fractional coordinates):
Co 0.0000 0.0000 0.0000  1.81
Co 0.7500 0.7500 0.7500  1.80
Fe 0.5000 0.5000 0.5000  2.72
Ir 0.2500 0.2500 0.2500  0.78

***

# FeCoIr

An optimized crystal structure of FeCoIr (PBEsol, the Alexandria database).

Values from the calculation:
energy above the lowest structure with this stoichiometry	0.0	meV/atom
energy of formation from the pure elements	84	meV/atom
space-group type	P3m1 (156)

Cell: 2.6123 2.6123 6.1222 Å, 90.00 90.00 120.00°
Site moments in Bohr magnetons follow the coordinates.
Atoms (fractional coordinates):
Co 0.0000 0.0000 0.9884  1.43
Fe 0.3333 0.6667 0.6773  2.36
Ir 0.6667 0.3333 0.3343  0.09

***

# FeCo2Ir

An optimized crystal structure of FeCo2Ir (PBEsol, the Alexandria database).

Values from the calculation:
energy above the lowest structure with this stoichiometry	0.0	meV/atom
energy of formation from the pure elements	96	meV/atom
space-group type	Immm (71)

Cell: 2.8048 4.1353 4.7744 Å, 115.66 107.08 90.00°
Site moments in Bohr magnetons follow the coordinates.
Atoms (fractional coordinates):
Ir 0.0000 0.5000 0.0000  0.64
Co 0.7651 0.7651 0.5301  1.81
Co 0.2349 0.2349 0.4699  1.81
Fe 0.5000 0.0000 0.0000  2.66

***

# FeCoIr

An optimized crystal structure of FeCoIr (PBEsol, the Alexandria database).

Values from the calculation:
energy above the lowest structure with this stoichiometry	114.8	meV/atom
energy of formation from the pure elements	199	meV/atom
space-group type	Fmm2 (42)

Cell: 2.5827 2.5827 6.3537 Å, 96.66 96.66 115.42°
Site moments in Bohr magnetons follow the coordinates.
Atoms (fractional coordinates):
Co 0.0079 0.0079 0.0158  1.80
Fe 0.6598 0.6598 0.3195  2.76
Ir 0.3323 0.3323 0.6647  0.47

***

# FeCo4Ir

An optimized crystal structure of FeCo4Ir (PBEsol, the Alexandria database).

Values from the calculation:
energy of formation from the pure elements	99	meV/atom
space-group type	F-43m (216)

Cell: 4.5918 4.5918 4.5918 Å, 60.00 60.00 60.00°
Site moments in Bohr magnetons follow the coordinates.
Atoms (fractional coordinates):
Co 0.3750 0.3750 0.3750  1.72
Co 0.3750 0.3750 0.8750  1.72
Co 0.8750 0.3750 0.3750  1.72
Co 0.3750 0.8750 0.3750  1.72
Fe 0.7500 0.7500 0.7500  2.82
Ir 0.0000 0.0000 0.0000  0.73

***

# FeCo2TcIr

An optimized crystal structure of FeCo2TcIr (PBEsol, the Alexandria database).

Values from the calculation:
energy of formation from the pure elements	1769	meV/atom
space-group type	P4/mmm (123)

Cell: 4.2545 4.2545 4.6402 Å, 90.00 90.00 90.00°
Site moments in Bohr magnetons follow the coordinates.
Atoms (fractional coordinates):
Ir 0.0000 0.0000 0.5000  0.14
Co 0.0000 0.5000 0.0000  0.50
Co 0.5000 0.0000 0.0000  0.50
Tc 0.0000 0.0000 0.0000  0.03
Fe 0.5000 0.5000 0.5000  3.30

***

# FeCoIr2W

An optimized crystal structure of FeCoIr2W (PBEsol, the Alexandria database).

Values from the calculation:
energy of formation from the pure elements	2046	meV/atom
space-group type	P4/mmm (123)

Cell: 4.3336 4.6779 4.6779 Å, 90.00 90.00 90.00°
Site moments in Bohr magnetons follow the coordinates.
Atoms (fractional coordinates):
Ir 0.0000 0.0000 0.5000  0.05
Ir 0.0000 0.5000 0.0000  0.05
Co 0.5000 0.5000 0.5000  2.14
Fe 0.5000 0.0000 0.0000  1.68
W 0.0000 0.0000 0.0000  -0.21

***

# K2FeCo

An optimized crystal structure of K2FeCo (PBEsol, the Alexandria database).

Values from the calculation:
energy above the lowest structure with this stoichiometry	22.2	meV/atom
energy of formation from the pure elements	1421	meV/atom
space-group type	Cmmm (65)

Cell: 2.7617 2.7617 10.9384 Å, 90.00 90.00 106.61°
Site moments in Bohr magnetons follow the coordinates.
Atoms (fractional coordinates):
Co 0.5000 0.5000 0.0000  1.64
Fe 0.5000 0.5000 0.5000  2.73
K 0.0000 0.0000 0.2409  -0.07
K 0.0000 0.0000 0.7591  -0.07

***

# KFe2Co

An optimized crystal structure of KFe2Co (PBEsol, the Alexandria database).

Values from the calculation:
energy above the lowest structure with this stoichiometry	0.0	meV/atom
energy of formation from the pure elements	753	meV/atom
space-group type	P4/mmm (123)

Cell: 3.0361 3.0361 7.5773 Å, 90.00 90.00 90.00°
Site moments in Bohr magnetons follow the coordinates.
Atoms (fractional coordinates):
Co 0.5000 0.5000 0.5000  1.61
Fe 0.0000 0.0000 0.6457  2.66
Fe 0.0000 0.0000 0.3543  2.66
K 0.5000 0.5000 0.0000  0.01

***

Q: What is the formula in the ninth record?
A: FeCo2TcIr

***

Q: energy of formation from the pure elements of number 6 (FeCo2Ir)?
A: 96 meV/atom

***

Repeat the second record exactly.
# InFeCo2

An optimized crystal structure of InFeCo2 (PBEsol, the Alexandria database).

Values from the calculation:
energy of formation from the pure elements	173	meV/atom
space-group type	Imm2 (44)

Cell: 3.0655 4.0974 4.8284 Å, 115.11 108.51 90.00°
Site moments in Bohr magnetons follow the coordinates.
Atoms (fractional coordinates):
Co 0.0109 0.0109 0.0218  1.54
Co 0.7568 0.2568 0.5135  1.39
Fe 0.4838 0.4838 0.9677  2.65
In 0.2485 0.7485 0.4969  -0.08